# 1
Below is a relaxed Sm3Th5Sb8 crystal, with properties calculated at the PBE level.

As for the density of states at the Fermi level: 0.55 states/eV per atom. For the total energy, the calculation gives -301.49 eV/cell. The calculation puts the total magnetic moment at 0.0000 μB/atom.

The structure belongs to space group R-3m (No. 166, hexagonal axes); the cell edges are 8.9926, 8.9926 and 21.9793 Å and the angles 90.00°, 90.00° and 120.00°. Symmetry generates all atoms from Sm at (0.0000, 0.5000, 0.0000), Th at (0.0000, 0.0000, 0.0000), Th at (0.0000, 0.0000, 0.5000), Th at (0.0000, 0.5000, 0.5000), Sb at (0.0000, 0.0000, 0.2508) and Sb at (0.0014, 0.5007, 0.2507).


# 2
Below is a relaxed Sm5ThSb4 crystal, with properties calculated at the PBE level.

As for the density of states at the Fermi level: 0.67 states/eV per atom. For the total energy, the calculation gives -109.60 eV/cell. The calculation puts the total magnetic moment at 0.0000 μB/atom.

The structure belongs to space group C2/m (No. 12); the cell edges are 19.082, 4.405 and 8.658 Å and the angles 90.00°, 105.55° and 90.00°. Symmetry generates all atoms from Sm at (0.000, 0.000, 0.000), Sm at (0.162, 0.500, 0.326), Sm at (0.178, 0.500, 0.848), Th at (0.000, 0.000, 0.500), Sb at (0.009, 0.500, 0.761) and Sb at (0.171, 0.000, 0.589).


# 3
Below is a relaxed Sm5ThSb6 crystal, with properties calculated at the PBE level.

As for the density of states at the Fermi level: 0.26 states/eV per atom. For the total energy, the calculation gives -139.09 eV/cell. The calculation puts the total magnetic moment at 0.0000 μB/atom.

The structure belongs to space group C2/m (No. 12); the cell edges are 7.757, 13.429 and 7.758 Å and the angles 90.00°, 109.45° and 90.00°. Symmetry generates all atoms from Sm at (0.000, 0.000, 0.000), Sm at (0.000, 0.167, 0.500), Sm at (0.000, 0.334, 0.000), Th at (0.000, 0.500, 0.500), Sb at (0.249, 0.000, 0.750) and Sb at (0.249, 0.167, 0.249).


# 4
Below is a relaxed Sm3ThSb3 crystal, with properties calculated at the PBE level.

As for the density of states at the Fermi level: 1.10 states/eV per atom. For the total energy, the calculation gives -162.92 eV/cell. The calculation puts the total magnetic moment at 0.0000 μB/atom.

The structure belongs to space group P2_13 (No. 198); the cell edges are 9.423, 9.423 and 9.423 Å and the angles 90.00°, 90.00° and 90.00°. Symmetry generates all atoms from Sm at (0.072, 0.428, 0.572), Sm at (0.180, 0.180, 0.180), Sm at (0.180, 0.820, 0.320), Th at (0.071, 0.571, 0.929) and Sb at (0.000, 0.248, 0.876).


# 5
Below is a relaxed Sm2ThSb crystal, with properties calculated at the PBE level.

As for the density of states at the Fermi level: 1.00 states/eV per atom. For the total energy, the calculation gives -22.85 eV/cell. The calculation puts the total magnetic moment at 0.0000 μB/atom.

The structure belongs to space group P4/mmm (No. 123); the cell edges are 4.955, 4.955 and 4.744 Å and the angles 90.00°, 90.00° and 90.00°. Symmetry generates all atoms from Sm at (0.000, 0.500, 0.000), Th at (0.000, 0.000, 0.500) and Sb at (0.500, 0.500, 0.500).


# 6
Below is a relaxed Sm4ThSb5 crystal, with properties calculated at the PBE level.

As for the density of states at the Fermi level: 0.36 states/eV per atom. For the total energy, the calculation gives -116.52 eV/cell. The calculation puts the total magnetic moment at 0.0000 μB/atom.

The structure belongs to space group Immm (No. 71); the cell edges are 4.484, 6.335 and 22.390 Å and the angles 90.00°, 90.00° and 90.00°. Symmetry generates all atoms from Sm at (0.000, 0.000, 0.101), Sm at (0.000, 0.000, 0.298), Th at (0.000, 0.000, 0.500), Sb at (0.000, 0.500, 0.101), Sb at (0.000, 0.500, 0.300) and Sb at (0.000, 0.500, 0.500).